Record 1
DFT (PBE) results for an optimized crystal structure of Ac7RuBr12.

Cell and atoms, written as CIF:
```
data_Ac7RuBr12
_cell_length_a 10.148
_cell_length_b 10.148
_cell_length_c 10.148
_cell_angle_alpha 106.09
_cell_angle_beta 106.09
_cell_angle_gamma 106.09
_symmetry_space_group_name_H-M 'P 1'
_symmetry_Int_Tables_number 1
_symmetry_space_group_name_Hall 'P 1'
loop_
_atom_site_label
_atom_site_fract_x
_atom_site_fract_y
_atom_site_fract_z
_atom_site_occupancy
Ac1 0.990 0.696 0.892 1
Ac2 0.304 0.108 0.010 1
Ac3 0.108 0.010 0.304 1
Ac4 0.500 0.500 0.500 1
Ac5 0.892 0.990 0.696 1
Ac6 0.696 0.892 0.990 1
Ac7 0.010 0.304 0.108 1
Ru1 0.000 0.000 0.000 1
Br1 0.924 0.327 0.794 1
Br2 0.673 0.206 0.076 1
Br3 0.458 0.174 0.369 1
Br4 0.826 0.631 0.542 1
Br5 0.206 0.076 0.673 1
Br6 0.631 0.542 0.826 1
Br7 0.369 0.458 0.174 1
Br8 0.794 0.924 0.327 1
Br9 0.174 0.369 0.458 1
Br10 0.542 0.826 0.631 1
Br11 0.327 0.794 0.924 1
Br12 0.076 0.673 0.206 1
```

Computed properties:
As for the total magnetization: 0.888 Bohr magnetons per cell. The value obtained for the total energy is -90.94 eV/f.u.

Record 2
DFT (PBE) results for an optimized crystal structure of Tb2Tm4Mg.

Cell and atoms, written as CIF:
```
data_Tb2Tm4Mg
_cell_length_a 5.962
_cell_length_b 6.451
_cell_length_c 11.321
_cell_angle_alpha 90.00
_cell_angle_beta 105.15
_cell_angle_gamma 90.00
_symmetry_space_group_name_H-M 'P 1'
_symmetry_Int_Tables_number 1
_symmetry_space_group_name_Hall 'P 1'
loop_
_atom_site_label
_atom_site_fract_x
_atom_site_fract_y
_atom_site_fract_z
_atom_site_occupancy
Tb1 0.608 0.750 0.004 1
Tb2 0.392 0.250 0.996 1
Tb3 0.281 0.250 0.424 1
Tb4 0.719 0.750 0.576 1
Tm1 0.645 0.498 0.288 1
Tm2 0.029 0.750 0.874 1
Tm3 0.971 0.250 0.126 1
Tm4 0.645 0.002 0.288 1
Tm5 0.854 0.250 0.559 1
Tm6 0.355 0.998 0.712 1
Tm7 0.355 0.502 0.712 1
Tm8 0.146 0.750 0.441 1
Mg1 0.159 0.750 0.166 1
Mg2 0.841 0.250 0.834 1
```

Computed properties:
As for the total magnetization: 0.000 Bohr magnetons per cell. The calculation puts the energy of formation from the pure elements at 109.8 meV/atom. Its polymorph energy (0 for the lowest one) is 0.000 eV per atom.

Record 3
DFT (PBE) results for an optimized crystal structure of Cr2PtRhW.

Cell and atoms, written as CIF:
```
data_Cr2PtRhW
_cell_length_a 4.396
_cell_length_b 4.795
_cell_length_c 4.396
_cell_angle_alpha 90.00
_cell_angle_beta 90.00
_cell_angle_gamma 90.00
_symmetry_space_group_name_H-M 'P 1'
_symmetry_Int_Tables_number 1
_symmetry_space_group_name_Hall 'P 1'
loop_
_atom_site_label
_atom_site_fract_x
_atom_site_fract_y
_atom_site_fract_z
_atom_site_occupancy
Cr1 0.000 0.000 0.500 1
Cr2 0.500 0.000 0.000 1
Rh1 0.000 0.500 0.000 1
W1 0.500 0.500 0.500 1
Pt1 0.000 0.000 0.000 1
```

Computed properties:
As for the total magnetization: 1.103 Bohr magnetons per cell. The calculation puts the energy of formation from the pure elements at 1973.3 meV/atom.

Record 4
DFT (PBE) results for an optimized crystal structure of MoBr.

Cell and atoms, written as CIF:
```
data_MoBr
_cell_length_a 7.078
_cell_length_b 7.078
_cell_length_c 7.078
_cell_angle_alpha 90.00
_cell_angle_beta 90.00
_cell_angle_gamma 90.00
_symmetry_space_group_name_H-M 'P 1'
_symmetry_Int_Tables_number 1
_symmetry_space_group_name_Hall 'P 1'
loop_
_atom_site_label
_atom_site_fract_x
_atom_site_fract_y
_atom_site_fract_z
_atom_site_occupancy
Mo1 0.250 0.000 0.500 1
Mo2 0.750 0.000 0.500 1
Mo3 0.000 0.500 0.250 1
Mo4 0.000 0.500 0.750 1
Mo5 0.500 0.250 0.000 1
Mo6 0.500 0.750 0.000 1
Br1 0.250 0.500 0.000 1
Br2 0.750 0.500 0.000 1
Br3 0.500 0.000 0.250 1
Br4 0.500 0.000 0.750 1
Br5 0.000 0.250 0.500 1
Br6 0.000 0.750 0.500 1
```

Computed properties:
As for the total magnetization: 6.984 Bohr magnetons per cell. Its polymorph energy (0 for the lowest one) is 1.632 eV per atom.

Record 5
DFT (PBE) results for an optimized crystal structure of K4NO.

Cell and atoms, written as CIF:
```
data_K4NO
_cell_length_a 4.673
_cell_length_b 4.673
_cell_length_c 6.752
_cell_angle_alpha 90.00
_cell_angle_beta 90.00
_cell_angle_gamma 90.00
_symmetry_space_group_name_H-M 'P 1'
_symmetry_Int_Tables_number 1
_symmetry_space_group_name_Hall 'P 1'
loop_
_atom_site_label
_atom_site_fract_x
_atom_site_fract_y
_atom_site_fract_z
_atom_site_occupancy
K1 0.000 0.500 0.260 1
K2 0.500 0.000 0.740 1
K3 0.000 0.500 0.740 1
K4 0.500 0.000 0.260 1
N1 0.000 0.000 0.000 1
O1 0.500 0.500 0.500 1
```

Computed properties:
As for the total magnetization: 1.000 Bohr magnetons per cell. The value obtained for the total energy is -18.70 eV/f.u.

Record 6
DFT (PBE) results for an optimized crystal structure of Nb2CoNiOs.

Cell and atoms, written as CIF:
```
data_Nb2CoNiOs
_cell_length_a 4.523
_cell_length_b 4.121
_cell_length_c 4.523
_cell_angle_alpha 90.00
_cell_angle_beta 90.00
_cell_angle_gamma 90.00
_symmetry_space_group_name_H-M 'P 1'
_symmetry_Int_Tables_number 1
_symmetry_space_group_name_Hall 'P 1'
loop_
_atom_site_label
_atom_site_fract_x
_atom_site_fract_y
_atom_site_fract_z
_atom_site_occupancy
Ni1 0.000 0.000 0.000 1
Nb1 0.000 0.000 0.500 1
Nb2 0.500 0.000 0.000 1
Os1 0.500 0.500 0.500 1
Co1 0.000 0.500 0.000 1
```

Computed properties:
As for the total magnetization: 1.386 Bohr magnetons per cell. The calculation puts the energy of formation from the pure elements at 1047.1 meV/atom.

Record 7
DFT (PBE) results for an optimized crystal structure of CeCuPH.

Cell and atoms, written as CIF:
```
data_CeCuPH
_cell_length_a 3.900
_cell_length_b 3.900
_cell_length_c 7.828
_cell_angle_alpha 90.00
_cell_angle_beta 90.00
_cell_angle_gamma 90.00
_symmetry_space_group_name_H-M 'P 1'
_symmetry_Int_Tables_number 1
_symmetry_space_group_name_Hall 'P 1'
loop_
_atom_site_label
_atom_site_fract_x
_atom_site_fract_y
_atom_site_fract_z
_atom_site_occupancy
Ce1 0.500 0.000 0.677 1
Ce2 0.000 0.500 0.323 1
Cu1 0.500 0.500 0.000 1
Cu2 0.000 0.000 0.000 1
P1 0.000 0.500 0.816 1
P2 0.500 0.000 0.184 1
H1 0.000 0.000 0.500 1
H2 0.500 0.500 0.500 1
```

Computed properties:
As for the total magnetization: 1.893 Bohr magnetons per cell. The value obtained for the total energy is -21.88 eV/f.u.

Record 8
DFT (PBE) results for an optimized crystal structure of Na3IBrCl.

Cell and atoms, written as CIF:
```
data_Na3IBrCl
_cell_length_a 4.289
_cell_length_b 7.350
_cell_length_c 11.276
_cell_angle_alpha 101.40
_cell_angle_beta 90.00
_cell_angle_gamma 90.00
_symmetry_space_group_name_H-M 'P 1'
_symmetry_Int_Tables_number 1
_symmetry_space_group_name_Hall 'P 1'
loop_
_atom_site_label
_atom_site_fract_x
_atom_site_fract_y
_atom_site_fract_z
_atom_site_occupancy
Na1 0.250 0.763 0.493 1
Na2 0.750 0.055 0.182 1
Na3 0.750 0.554 0.190 1
Na4 0.750 0.237 0.507 1
Na5 0.250 0.446 0.810 1
Na6 0.250 0.945 0.818 1
I1 0.250 0.762 0.048 1
I2 0.750 0.238 0.952 1
Br1 0.750 0.645 0.679 1
Br2 0.250 0.355 0.321 1
Cl1 0.250 0.133 0.631 1
Cl2 0.750 0.867 0.369 1
```

Computed properties:
As for the total magnetization: 0.000 Bohr magnetons per cell. The value obtained for the total energy is -18.02 eV/f.u.

Record 9
DFT (PBE) results for an optimized crystal structure of Re3NiPb.

Cell and atoms, written as CIF:
```
data_Re3NiPb
_cell_length_a 4.539
_cell_length_b 4.539
_cell_length_c 4.539
_cell_angle_alpha 90.00
_cell_angle_beta 90.00
_cell_angle_gamma 90.00
_symmetry_space_group_name_H-M 'P 1'
_symmetry_Int_Tables_number 1
_symmetry_space_group_name_Hall 'P 1'
loop_
_atom_site_label
_atom_site_fract_x
_atom_site_fract_y
_atom_site_fract_z
_atom_site_occupancy
Pb1 0.500 0.500 0.500 1
Re1 0.000 0.500 0.000 1
Re2 0.000 0.000 0.500 1
Re3 0.500 0.000 0.000 1
Ni1 0.000 0.000 0.000 1
```

Computed properties:
As for the total magnetization: 3.427 Bohr magnetons per cell. The calculation puts the energy of formation from the pure elements at 1782.2 meV/atom. Its polymorph energy (0 for the lowest one) is 0.000 eV per atom.

Record 10
DFT (PBE) results for an optimized crystal structure of LaPaIr2.

Cell and atoms, written as CIF:
```
data_LaPaIr2
_cell_length_a 3.959
_cell_length_b 3.959
_cell_length_c 7.534
_cell_angle_alpha 74.77
_cell_angle_beta 74.77
_cell_angle_gamma 60.00
_symmetry_space_group_name_H-M 'P 1'
_symmetry_Int_Tables_number 1
_symmetry_space_group_name_Hall 'P 1'
loop_
_atom_site_label
_atom_site_fract_x
_atom_site_fract_y
_atom_site_fract_z
_atom_site_occupancy
La1 0.497 0.497 0.509 1
Pa1 0.669 0.669 0.994 1
Ir1 0.075 0.075 0.776 1
Ir2 0.260 0.260 0.221 1
```

Computed properties:
As for the total magnetization: 0.000 Bohr magnetons per cell. The calculation puts the energy of formation from the pure elements at -728.5 meV/atom. Its polymorph energy (0 for the lowest one) is 0.127 eV per atom.

Record 11
DFT (PBE) results for an optimized crystal structure of Rb3Sr2PtO6.

Cell and atoms, written as CIF:
```
data_Rb3Sr2PtO6
_cell_length_a 6.197
_cell_length_b 6.197
_cell_length_c 6.767
_cell_angle_alpha 98.79
_cell_angle_beta 98.79
_cell_angle_gamma 119.94
_symmetry_space_group_name_H-M 'P 1'
_symmetry_Int_Tables_number 1
_symmetry_space_group_name_Hall 'P 1'
loop_
_atom_site_label
_atom_site_fract_x
_atom_site_fract_y
_atom_site_fract_z
_atom_site_occupancy
Rb1 0.165 0.835 0.500 1
Rb2 0.835 0.165 0.500 1
Rb3 0.500 0.500 0.500 1
Sr1 0.333 0.667 0.000 1
Sr2 0.667 0.333 0.000 1
Pt1 0.000 0.000 0.000 1
O1 0.939 0.661 0.820 1
O2 0.781 0.781 0.182 1
O3 0.061 0.339 0.180 1
O4 0.661 0.939 0.820 1
O5 0.219 0.219 0.818 1
O6 0.339 0.061 0.180 1
```

Computed properties:
As for the total magnetization: 1.080 Bohr magnetons per cell. The value obtained for the total energy is -60.65 eV/f.u.

Record 12
DFT (PBE) results for an optimized crystal structure of Ho8CdC4.

Cell and atoms, written as CIF:
```
data_Ho8CdC4
_cell_length_a 3.607
_cell_length_b 8.956
_cell_length_c 9.109
_cell_angle_alpha 84.08
_cell_angle_beta 78.58
_cell_angle_gamma 78.38
_symmetry_space_group_name_H-M 'P 1'
_symmetry_Int_Tables_number 1
_symmetry_space_group_name_Hall 'P 1'
loop_
_atom_site_label
_atom_site_fract_x
_atom_site_fract_y
_atom_site_fract_z
_atom_site_occupancy
Ho1 0.155 0.319 0.370 1
Ho2 0.558 0.643 0.240 1
Ho3 0.473 0.361 0.693 1
Ho4 0.876 0.684 0.564 1
Ho5 0.856 0.983 0.306 1
Ho6 0.213 0.664 0.910 1
Ho7 0.176 0.021 0.628 1
Ho8 0.818 0.340 0.024 1
Cd1 0.516 0.002 0.967 1
C1 0.364 0.835 0.436 1
C2 0.845 0.512 0.797 1
C3 0.186 0.491 0.136 1
C4 0.667 0.168 0.498 1
```

Computed properties:
As for the total magnetization: 0.003 Bohr magnetons per cell. The calculation puts the energy of formation from the pure elements at -272.9 meV/atom.